(1)
Below is crystalline Na2LiCuF6 at its relaxed geometry, with properties calculated at the GGA-PBE level.

The space group is P2_1/c (No. 14) and the conventional cell measures 5.1934, 5.3366 and 8.9972 Å, with angles of 90.00, 124.92 and 90.00 degrees. The inequivalent atoms are Na at (0.2333, 0.0589, 0.2486), Li at (0.0000, 0.0000, 0.5000), Cu at (0.5000, 0.0000, 0.0000), F at (0.1521, 0.1995, 0.9514), F at (0.2589, 0.7037, 0.9521) and F at (0.3480, 0.0233, 0.7525).

(2)
Below is crystalline BaTh at its relaxed geometry, with properties calculated at the GGA-PBE level.

The space group is Fm-3m (No. 225) and the conventional cell measures 6.8984, 6.8984 and 6.8984 Å, with angles of 90.00, 90.00 and 90.00 degrees. The inequivalent atoms are Ba at (0.0000, 0.0000, 0.0000) and Th at (0.0000, 0.0000, 0.5000).

(3)
Below is crystalline PrSmTlNi2 at its relaxed geometry, with properties calculated at the GGA-PBE level.

The space group is Amm2 (No. 38) and the conventional cell measures 3.7854, 3.9915 and 14.6749 Å, with angles of 90.00, 90.00 and 90.00 degrees. The inequivalent atoms are Pr at (0.0000, 0.0000, 0.0000), Sm at (0.0000, 0.0000, 0.7248), Tl at (0.5000, 0.0000, 0.3604), Ni at (0.5000, 0.0000, 0.1624) and Ni at (0.5000, 0.0000, 0.5674).

(4)
Below is crystalline Pd2Au2O5 at its relaxed geometry, with properties calculated at the GGA-PBE level.

The space group is P4/mmm (No. 123) and the conventional cell measures 4.0707, 4.0707 and 6.7693 Å, with angles of 90.00, 90.00 and 90.00 degrees. The inequivalent atoms are Pd at (0.0000, 0.0000, 0.0000), Pd at (0.0000, 0.0000, 0.5000), Au at (0.5000, 0.5000, 0.1921), O at (0.0000, 0.5000, 0.2404) and O at (0.5000, 0.5000, 0.5000).

Computed values of final energy (unit: eV per atom) for the preceding records, in sequence: -4.150; -3.394; -5.005; -3.995.